Below is an optimized crystal structure of ZnNiAgBr2, with properties calculated at the PBE level.

The structure in CIF format:
```
data_ZnNiAgBr2
_chemical_formula_sum 'Zn1 Ni1 Ag1 Br2'
_cell_length_a 4.799
_cell_length_b 5.287
_cell_length_c 4.799
_cell_angle_alpha 90.00
_cell_angle_beta 90.00
_cell_angle_gamma 90.00
_symmetry_space_group_name_H-M 'P 1'
_symmetry_Int_Tables_number 1
loop_
_symmetry_equiv_pos_as_xyz
'x,y,z'
loop_
_atom_site_label
_atom_site_type_symbol
_atom_site_fract_x
_atom_site_fract_y
_atom_site_fract_z
Br1 Br 0.000 0.000 0.500
Br2 Br 0.500 0.000 0.000
Ni1 Ni 0.000 0.000 0.000
Ag1 Ag 0.000 0.500 0.000
Zn1 Zn 0.500 0.500 0.500
```

total DFT energy (no corrections) = -2.420 eV/atom
formation energy from raw total energies = 230 meV per atom

Below is an optimized crystal structure of Sr2LiRh2, with properties calculated at the PBE level.

The structure in CIF format:
```
data_Sr2LiRh2
_chemical_formula_sum 'Sr2 Li1 Rh2'
_cell_length_a 4.591
_cell_length_b 5.906
_cell_length_c 5.906
_cell_angle_alpha 54.54
_cell_angle_beta 67.13
_cell_angle_gamma 67.13
_symmetry_space_group_name_H-M 'P 1'
_symmetry_Int_Tables_number 1
loop_
_symmetry_equiv_pos_as_xyz
'x,y,z'
loop_
_atom_site_label
_atom_site_type_symbol
_atom_site_fract_x
_atom_site_fract_y
_atom_site_fract_z
Li1 Li 0.500 0.500 0.000
Rh1 Rh 0.000 0.752 0.748
Rh2 Rh 0.000 0.248 0.252
Sr1 Sr 0.693 0.807 0.307
Sr2 Sr 0.307 0.193 0.693
```

energy above the most stable polymorph in this dataset = 0.0 meV/atom
total DFT energy (no corrections) = -4.214 eV/atom

Below is an optimized crystal structure of PuInNiAg, with properties calculated at the PBE level.

The structure in CIF format:
```
data_PuInNiAg
_chemical_formula_sum 'Pu1 In1 Ni1 Ag1'
_cell_length_a 4.855
_cell_length_b 4.855
_cell_length_c 4.855
_cell_angle_alpha 60.00
_cell_angle_beta 60.00
_cell_angle_gamma 60.00
_symmetry_space_group_name_H-M 'P 1'
_symmetry_Int_Tables_number 1
loop_
_symmetry_equiv_pos_as_xyz
'x,y,z'
loop_
_atom_site_label
_atom_site_type_symbol
_atom_site_fract_x
_atom_site_fract_y
_atom_site_fract_z
Ni1 Ni 0.000 0.000 0.000
In1 In 0.750 0.750 0.750
Ag1 Ag 0.500 0.500 0.500
Pu1 Pu 0.250 0.250 0.250
```

total DFT energy (no corrections) = -6.411 eV/atom

Below is an optimized crystal structure of NdY2Ga2, with properties calculated at the PBE level.

The structure in CIF format:
```
data_NdY2Ga2
_chemical_formula_sum 'Nd2 Y4 Ga4'
_cell_length_a 4.324
_cell_length_b 5.465
_cell_length_c 11.718
_cell_angle_alpha 92.07
_cell_angle_beta 90.00
_cell_angle_gamma 90.00
_symmetry_space_group_name_H-M 'P 1'
_symmetry_Int_Tables_number 1
loop_
_symmetry_equiv_pos_as_xyz
'x,y,z'
loop_
_atom_site_label
_atom_site_type_symbol
_atom_site_fract_x
_atom_site_fract_y
_atom_site_fract_z
Ga1 Ga 0.250 0.365 0.975
Ga2 Ga 0.750 0.242 0.355
Ga3 Ga 0.250 0.758 0.645
Ga4 Ga 0.750 0.635 0.025
Y1 Y 0.250 0.866 0.888
Y2 Y 0.750 0.748 0.473
Y3 Y 0.250 0.252 0.527
Y4 Y 0.750 0.134 0.112
Nd1 Nd 0.750 0.347 0.767
Nd2 Nd 0.250 0.653 0.233
```

energy above the most stable polymorph in this dataset = 126.7 meV/atom
total DFT energy (no corrections) = -5.119 eV/atom

Below is an optimized crystal structure of Y2Ga3Cu, with properties calculated at the PBE level.

The structure in CIF format:
```
data_Y2Ga3Cu
_chemical_formula_sum 'Y2 Ga3 Cu1'
_cell_length_a 4.382
_cell_length_b 4.382
_cell_length_c 7.259
_cell_angle_alpha 90.00
_cell_angle_beta 90.00
_cell_angle_gamma 120.00
_symmetry_space_group_name_H-M 'P 1'
_symmetry_Int_Tables_number 1
loop_
_symmetry_equiv_pos_as_xyz
'x,y,z'
loop_
_atom_site_label
_atom_site_type_symbol
_atom_site_fract_x
_atom_site_fract_y
_atom_site_fract_z
Y1 Y 0.333 0.667 0.239
Y2 Y 0.333 0.667 0.767
Cu1 Cu 0.667 0.333 0.970
Ga1 Ga 0.000 0.000 0.019
Ga2 Ga 0.000 0.000 0.458
Ga3 Ga 0.667 0.333 0.547
```

energy above the most stable polymorph in this dataset = 0.0 meV/atom
total DFT energy (no corrections) = -4.961 eV/atom

Below is an optimized crystal structure of Pr10Sn3Pb3, with properties calculated at the PBE level.

The structure in CIF format:
```
data_Pr10Sn3Pb3
_chemical_formula_sum 'Pr10 Sn3 Pb3'
_cell_length_a 6.925
_cell_length_b 9.433
_cell_length_c 9.433
_cell_angle_alpha 120.00
_cell_angle_beta 90.00
_cell_angle_gamma 90.00
_symmetry_space_group_name_H-M 'P 1'
_symmetry_Int_Tables_number 1
loop_
_symmetry_equiv_pos_as_xyz
'x,y,z'
loop_
_atom_site_label
_atom_site_type_symbol
_atom_site_fract_x
_atom_site_fract_y
_atom_site_fract_z
Sn1 Sn 0.000 0.607 0.000
Sn2 Sn 0.000 0.393 0.393
Sn3 Sn 0.000 0.000 0.607
Pr1 Pr 0.500 0.242 0.242
Pr2 Pr 0.246 0.333 0.667
Pr3 Pr 0.754 0.667 0.333
Pr4 Pr 0.754 0.333 0.667
Pr5 Pr 0.500 0.000 0.758
Pr6 Pr 0.246 0.667 0.333
Pr7 Pr 0.000 0.241 0.000
Pr8 Pr 0.500 0.758 0.000
Pr9 Pr 0.000 0.759 0.759
Pr10 Pr 0.000 0.000 0.241
Pb1 Pb 0.500 0.394 0.000
Pb2 Pb 0.500 0.606 0.606
Pb3 Pb 0.500 0.000 0.394
```

total DFT energy (no corrections) = -5.041 eV/atom

Below is an optimized crystal structure of Ho2Rh7, with properties calculated at the PBE level.

The structure in CIF format:
```
data_Ho2Rh7
_chemical_formula_sum 'Ho4 Rh14'
_cell_length_a 5.233
_cell_length_b 5.233
_cell_length_c 13.457
_cell_angle_alpha 78.79
_cell_angle_beta 78.79
_cell_angle_gamma 60.00
_symmetry_space_group_name_H-M 'P 1'
_symmetry_Int_Tables_number 1
loop_
_symmetry_equiv_pos_as_xyz
'x,y,z'
loop_
_atom_site_label
_atom_site_type_symbol
_atom_site_fract_x
_atom_site_fract_y
_atom_site_fract_z
Rh1 Rh 0.388 0.388 0.333
Rh2 Rh 0.389 0.389 0.832
Rh3 Rh 0.722 0.722 0.833
Rh4 Rh 0.109 0.612 0.667
Rh5 Rh 0.611 0.611 0.168
Rh6 Rh 0.278 0.278 0.167
Rh7 Rh 0.000 0.500 0.000
Rh8 Rh 0.500 0.000 0.000
Rh9 Rh 0.612 0.612 0.667
Rh10 Rh 0.388 0.891 0.333
Rh11 Rh 0.500 0.500 0.500
Rh12 Rh 0.500 0.500 0.000
Rh13 Rh 0.891 0.388 0.333
Rh14 Rh 0.612 0.109 0.667
Ho1 Ho 0.853 0.853 0.441
Ho2 Ho 0.951 0.951 0.148
Ho3 Ho 0.049 0.049 0.852
Ho4 Ho 0.147 0.147 0.559
```

total DFT energy (no corrections) = -7.228 eV/atom

Below is an optimized crystal structure of PrH6Pd5, with properties calculated at the PBE level.

The structure in CIF format:
```
data_PrH6Pd5
_chemical_formula_sum 'Pr1 H6 Pd5'
_cell_length_a 4.686
_cell_length_b 6.047
_cell_length_c 4.815
_cell_angle_alpha 88.36
_cell_angle_beta 86.60
_cell_angle_gamma 73.26
_symmetry_space_group_name_H-M 'P 1'
_symmetry_Int_Tables_number 1
loop_
_symmetry_equiv_pos_as_xyz
'x,y,z'
loop_
_atom_site_label
_atom_site_type_symbol
_atom_site_fract_x
_atom_site_fract_y
_atom_site_fract_z
H1 H 0.574 0.215 0.729
H2 H 0.426 0.785 0.271
H3 H 0.433 0.767 0.723
H4 H 0.993 0.528 0.251
H5 H 0.007 0.472 0.749
H6 H 0.567 0.233 0.277
Pd1 Pd 0.500 0.000 0.500
Pd2 Pd 0.810 0.348 0.492
Pd3 Pd 0.306 0.352 0.010
Pd4 Pd 0.694 0.648 0.990
Pd5 Pd 0.190 0.652 0.508
Pr1 Pr 0.000 0.000 0.000
```

total DFT energy (no corrections) = -4.536 eV/atom